Compound: LiDyZnSe3
Source: the Open Quantum Materials Database
Functional: GGA-PBE
Structure: optimized geometry

Structure (extended XYZ):
```
24
Lattice="10.889 0.000 0.000 0.000 3.994 0.000 0.000 0.000 13.082" Properties=species:S:1:pos:R:3 pbc="T T T"
Li 2.154 0.999 0.210
Li 3.291 2.996 6.751
Li 7.598 0.999 6.331
Li 8.736 2.996 12.872
Dy 0.119 2.996 9.715
Dy 5.326 0.999 3.174
Dy 5.564 2.996 9.908
Dy 10.770 0.999 3.367
Zn 2.635 2.996 2.938
Zn 2.810 0.999 9.478
Zn 8.080 2.996 3.603
Zn 8.254 0.999 10.144
Se 0.680 2.996 1.437
Se 0.938 0.999 7.915
Se 2.638 0.999 4.472
Se 2.807 2.996 11.013
Se 4.507 2.996 1.374
Se 4.764 0.999 7.978
Se 6.125 2.996 5.104
Se 6.383 0.999 11.708
Se 8.082 0.999 2.069
Se 8.252 2.996 8.610
Se 9.951 2.996 5.167
Se 10.209 0.999 11.645
```

Summary:
relative energy among the computed polymorphs = 36 meV/atom
E_tot = -4.308 eV/atom
size of the total moment = 0.04 μB/cell



Compound: GaNiHgMo
Source: the Open Quantum Materials Database
Functional: GGA-PBE
Structure: optimized geometry

Structure (extended XYZ):
```
4
Lattice="0.000 3.186 3.186 3.186 0.000 3.186 3.186 3.186 0.000" Properties=species:S:1:pos:R:3 pbc="T T T"
Ga 0.000 0.000 0.000
Ni 1.593 1.593 1.593
Hg 4.778 4.778 4.778
Mo 3.186 3.186 3.186
```

Summary:
relative energy among the computed polymorphs = 147 meV/atom
E_tot = -4.407 eV/atom
size of the total moment = 1.88 μB/cell